Model 1:
Entry from Alexandria via LeMat-Bulk: a relaxed structure of YHoThSc (PBE-GGA).

Computed properties:
DOS at the Fermi energy: 6.2 states/eV/f.u.
space group: No. 160

Cell: 3.537 3.538 11.276 Å, 90.00 99.02 120.00°
Last column: magnetic moment on the atom in μB.
Fractional coordinates of all 4 atoms:
Sc: 0.134 0.965 0.114  0.04
Y: 0.964 0.380 0.360  0.10
Th: 0.308 0.552 0.874  0.00
Ho: 0.472 0.134 0.622  0.03


Model 2:
Entry from Alexandria via LeMat-Bulk: a relaxed structure of YHoThSc (PBE-GGA).

Computed properties:
DOS at the Fermi energy: 7.4 states/eV/f.u.
space group: No. 216

Cell: 5.545 5.545 5.545 Å, 60.00 60.00 60.00°
Fractional coordinates of all 4 atoms:
Ho: 0.000 0.000 0.000
Th: 0.250 0.250 0.250
Y: 0.750 0.750 0.750
Sc: 0.500 0.500 0.500


Stability ranking, top entry: model 1; the second entry is 0.091 eV/atom less favorable.


Model 1:
Entry from Alexandria via LeMat-Bulk: a relaxed structure of HoSc4Tl (PBE-GGA).

Computed properties:
DOS at the Fermi energy: 6.5 states/eV/f.u.
space group: No. 12

Cell: 4.948 6.090 6.461 Å, 61.38 67.49 66.03°
Fractional coordinates of all 6 atoms:
Sc: 0.304 0.556 0.837
Sc: 0.653 0.003 0.691
Sc: 0.347 0.997 0.309
Sc: 0.696 0.444 0.163
Tl: 0.000 0.000 0.000
Ho: 0.000 0.500 0.500


Model 2:
Entry from Alexandria via LeMat-Bulk: a relaxed structure of HoSc4Tl (PBE-GGA).

Computed properties:
DOS at the Fermi energy: 7.8 states/eV/f.u.
space group: No. 63

Cell: 4.920 6.859 9.565 Å, 90.00 104.90 90.00°
Last column: magnetic moment on the atom in μB.
Fractional coordinates of all 12 atoms:
Sc: 0.064 0.750 0.128  0.05
Sc: 0.666 0.967 0.332  0.01
Ho: 0.118 0.250 0.237  0.06
Sc: 0.334 0.033 0.668  0.01
Sc: 0.666 0.533 0.332  0.01
Sc: 0.936 0.250 0.872  0.05
Ho: 0.882 0.750 0.763  0.06
Tl: 0.780 0.250 0.560  0.00
Sc: 0.500 0.000 0.000  0.16
Sc: 0.334 0.467 0.668  0.01
Sc: 0.500 0.500 0.000  0.16
Tl: 0.220 0.750 0.440  0.00


Stability ranking, top entry: model 1; the second entry is 0.089 eV/atom less favorable.


Model 1:
Entry from Alexandria via LeMat-Bulk: a relaxed structure of Ho4ScTl (PBE-GGA).

Computed properties:
DOS at the Fermi energy: 8.0 states/eV/f.u.
space group: No. 15

Cell: 6.347 8.904 8.112 Å, 112.86 99.57 114.20°
Fractional coordinates of all 12 atoms:
Ho: 0.248 0.288 0.383
Sc: 0.657 0.407 0.814
Ho: 0.204 0.588 0.758
Tl: 0.750 0.000 0.000
Ho: 0.796 0.412 0.242
Ho: 0.946 0.829 0.242
Ho: 0.054 0.171 0.758
Sc: 0.343 0.593 0.186
Ho: 0.364 0.904 0.617
Ho: 0.636 0.096 0.383
Ho: 0.752 0.712 0.617
Tl: 0.250 0.000 0.000


Model 2:
Entry from Alexandria via LeMat-Bulk: a relaxed structure of Ho4ScTl (PBE-GGA).

Computed properties:
DOS at the Fermi energy: 7.2 states/eV/f.u.
space group: No. 8

Cell: 3.472 6.523 9.276 Å, 118.45 90.05 105.39°
Fractional coordinates of all 6 atoms:
Ho: 0.876 0.752 0.718
Ho: 0.632 0.265 0.778
Tl: 0.370 0.741 0.414
Ho: 0.389 0.778 0.066
Ho: 0.104 0.209 0.432
Sc: 0.128 0.256 0.091


Stability ranking, top entry: model 2; the second entry is 0.054 eV/atom less favorable.


Model 1:
Entry from Alexandria via LeMat-Bulk: a relaxed structure of Ho3ScTl4 (PBE-GGA).

Computed properties:
DOS at the Fermi energy: 7.5 states/eV/f.u.
space group: No. 31

Cell: 6.556 6.606 9.870 Å, 90.00 90.00 90.00°
Fractional coordinates of all 16 atoms:
Ho: 0.064 0.741 0.750
Tl: 0.815 0.500 0.500
Tl: 0.064 0.249 0.750
Ho: 0.813 0.999 0.000
Tl: 0.564 0.751 0.250
Tl: 0.315 0.500 0.000
Tl: 0.813 0.000 0.500
Ho: 0.564 0.259 0.250
Sc: 0.816 0.499 0.000
Ho: 0.564 0.259 0.750
Tl: 0.313 0.000 0.000
Tl: 0.064 0.249 0.250
Tl: 0.564 0.751 0.750
Ho: 0.064 0.741 0.250
Ho: 0.313 0.001 0.500
Sc: 0.316 0.501 0.500


Model 2:
Entry from Alexandria via LeMat-Bulk: a relaxed structure of Ho3ScTl4 (PBE-GGA).

Computed properties:
DOS at the Fermi energy: 5.2 states/eV/f.u.
space group: No. 123

Cell: 3.690 3.690 15.312 Å, 90.00 90.00 90.00°
Fractional coordinates of all 8 atoms:
Tl: 0.000 0.000 0.886
Ho: 0.500 0.500 0.758
Tl: 0.000 0.000 0.370
Tl: 0.000 0.000 0.114
Tl: 0.000 0.000 0.630
Sc: 0.500 0.500 0.000
Ho: 0.500 0.500 0.500
Ho: 0.500 0.500 0.242


Stability ranking, top entry: model 2; the second entry is 0.112 eV/atom less favorable.


Model 1:
Entry from Alexandria via LeMat-Bulk: a relaxed structure of Ho6ScTl5 (PBE-GGA).

Computed properties:
DOS at the Fermi energy: 12.2 states/eV/f.u.
space group: No. 71

Cell: 4.951 8.714 9.049 Å, 118.78 105.88 90.00°
Last column: magnetic moment on the atom in μB.
Fractional coordinates of all 12 atoms:
Ho: 0.831 0.089 0.662  0.09
Tl: 0.675 0.675 0.349  0.00
Tl: 0.646 0.146 0.293  0.00
Tl: 0.000 0.500 0.000  0.00
Sc: 0.000 0.000 0.000  0.20
Tl: 0.325 0.325 0.651  0.00
Ho: 0.831 0.573 0.662  0.09
Ho: 0.169 0.911 0.338  0.09
Ho: 0.169 0.427 0.338  0.09
Tl: 0.354 0.854 0.707  0.00
Ho: 0.500 0.732 0.000  0.11
Ho: 0.500 0.268 0.000  0.11


Model 2:
Entry from Alexandria via LeMat-Bulk: a relaxed structure of Ho6ScTl5 (PBE-GGA).

Computed properties:
DOS at the Fermi energy: 11.4 states/eV/f.u.
space group: No. 12

Cell: 6.316 10.142 7.463 Å, 47.20 82.16 78.42°
Fractional coordinates of all 12 atoms:
Tl: 0.500 0.500 0.000
Tl: 0.500 0.855 0.289
Ho: 0.260 0.562 0.345
Ho: 0.260 0.907 0.655
Ho: 0.225 0.270 0.000
Tl: 0.500 0.145 0.711
Sc: 0.000 0.000 0.000
Ho: 0.775 0.730 0.000
Tl: 0.000 0.700 0.601
Ho: 0.740 0.093 0.345
Ho: 0.740 0.438 0.655
Tl: 0.000 0.300 0.399


Stability ranking, top entry: model 1; the second entry is 0.098 eV/atom less favorable.


Model 1:
Entry from Alexandria via LeMat-Bulk: a relaxed structure of Ho2Sc2Tl (PBE-GGA).

Computed properties:
DOS at the Fermi energy: 6.3 states/eV/f.u.
space group: No. 12

Cell: 7.764 6.240 8.198 Å, 73.57 62.96 51.53°
Fractional coordinates of all 10 atoms:
Ho: 0.004 0.633 0.711
Sc: 0.257 0.000 0.591
Sc: 0.743 0.000 0.409
Tl: 0.157 0.686 0.000
Sc: 0.399 0.000 0.879
Ho: 0.363 0.633 0.289
Sc: 0.601 0.000 0.121
Ho: 0.637 0.367 0.711
Ho: 0.996 0.367 0.289
Tl: 0.843 0.314 0.000


Model 2:
Entry from Alexandria via LeMat-Bulk: a relaxed structure of Ho2Sc2Tl (PBE-GGA).

Computed properties:
DOS at the Fermi energy: 6.8 states/eV/f.u.
space group: No. 55

Cell: 4.848 9.033 6.591 Å, 90.00 90.00 90.00°
Fractional coordinates of all 10 atoms:
Tl: 0.000 0.000 0.000
Ho: 0.000 0.332 0.902
Ho: 0.000 0.832 0.598
Ho: 0.000 0.668 0.098
Sc: 0.500 0.424 0.233
Ho: 0.000 0.168 0.402
Sc: 0.500 0.576 0.767
Sc: 0.500 0.076 0.733
Sc: 0.500 0.924 0.267
Tl: 0.000 0.500 0.500


Stability ranking, top entry: model 1; the second entry is 0.067 eV/atom less favorable.